# Pm2CdHg | Alexandria via LeMat-Bulk | SCAN | single point on PBEsol structure
# - calculated formation energy (eV per atom) = -0.55
# - spin magnetization (μB/f.u.) = 0.8
data_Pm2CdHg
_symmetry_space_group_name_H-M 'F m -3 m'
_symmetry_Int_Tables_number 225
_symmetry_space_group_name_Hall '-F 4 2 3'
_cell_length_a 7.4908
_cell_length_b 7.4908
_cell_length_c 7.4908
_cell_angle_alpha 90.00
_cell_angle_beta 90.00
_cell_angle_gamma 90.00
loop_
_atom_site_label
_atom_site_type_symbol
_atom_site_fract_x
_atom_site_fract_y
_atom_site_fract_z
_atom_site_occupancy
Pm1 Pm 0.2500 0.2500 0.2500 1
Cd1 Cd 0.0000 0.0000 0.0000 1
Hg1 Hg 0.0000 0.0000 0.5000 1